Entry 1:
DFT (PBE-GGA) results for an optimized crystal structure of Sn2CN.

Summary:
Polymorph energy (0 for the lowest one) (meV/atom): 985.7
D(E_F) (states/eV/cell): 10.5
Calculated volume (Å³/cell): 230.1
Total magnetization (μB per cell): 0.000

Structure (CIF):
```
data_Sn2CN
_chemical_formula_sum 'Sn8 C4 N4'
_cell_length_a 6.1282
_cell_length_b 6.1282
_cell_length_c 6.1282
_cell_angle_alpha 90.00
_cell_angle_beta 90.00
_cell_angle_gamma 90.00
_symmetry_space_group_name_H-M 'F m -3 m'
_symmetry_Int_Tables_number 225
_symmetry_space_group_name_Hall '-F 4 2 3'
loop_
_atom_site_label
_atom_site_fract_x
_atom_site_fract_y
_atom_site_fract_z
Sn1 0.2500 0.2500 0.2500
C1 0.0000 0.0000 0.0000
N1 0.0000 0.0000 0.5000
```

---

Entry 2:
DFT (PBE-GGA) results for an optimized crystal structure of La7Pm12Tm.

Summary:
Energy relative to the elements (meV per atom): 571
D(E_F) (states/eV/cell): 70.0
Calculated volume (Å³/cell): 1554.1
Total magnetization (μB per cell): 0.000

Structure (CIF):
```
data_La7Pm12Tm
_chemical_formula_sum 'La14 Pm24 Tm2'
_cell_length_a 11.5832
_cell_length_b 11.5832
_cell_length_c 11.5832
_cell_angle_alpha 90.00
_cell_angle_beta 90.00
_cell_angle_gamma 90.00
_symmetry_space_group_name_H-M 'I m -3'
_symmetry_Int_Tables_number 204
_symmetry_space_group_name_Hall '-I 2 2 3'
loop_
_atom_site_label
_atom_site_fract_x
_atom_site_fract_y
_atom_site_fract_z
La1 0.0000 0.0000 0.5000
La2 0.2500 0.2500 0.2500
Pm1 0.0000 0.2457 0.2466
Tm1 0.0000 0.0000 0.0000
```